# MgSc2FeCo (GGA-PBE, relaxed)
# DFT formation energy (meV/atom): 1310
# Symmetry: P4/mmm
data_MgSc2FeCo
_chemical_formula_sum 'Mg1 Sc2 Fe1 Co1'
_space_group_name_H-M_alt 'P 1'
_space_group_IT_number 1
_space_group_name_Hall 'P 1'
_cell_length_a 5.092
_cell_length_b 4.294
_cell_length_c 5.092
_cell_angle_alpha 90.00
_cell_angle_beta 90.00
_cell_angle_gamma 90.00
loop_
_atom_site_label
_atom_site_type_symbol
_atom_site_fract_x
_atom_site_fract_y
_atom_site_fract_z
Co1 Co 0.500 0.500 0.500
Mg1 Mg 0.000 0.000 0.000
Sc1 Sc 0.500 0.000 0.000
Sc2 Sc 0.000 0.000 0.500
Fe1 Fe 0.000 0.500 0.000

---

# LaPrIrPd (GGA-PBE, relaxed)
# DFT formation energy (meV/atom): -689
# Symmetry: F-43m
# Energy relative to the lowest polymorph listed for this composition (meV per atom): 63
data_LaPrIrPd
_chemical_formula_sum 'La1 Pr1 Ir1 Pd1'
_space_group_name_H-M_alt 'P 1'
_space_group_IT_number 1
_space_group_name_Hall 'P 1'
_cell_length_a 5.114
_cell_length_b 5.114
_cell_length_c 5.114
_cell_angle_alpha 60.00
_cell_angle_beta 60.00
_cell_angle_gamma 60.00
loop_
_atom_site_label
_atom_site_type_symbol
_atom_site_fract_x
_atom_site_fract_y
_atom_site_fract_z
Ir1 Ir 0.500 0.500 0.500
Pr1 Pr 0.250 0.250 0.250
Pd1 Pd 0.000 0.000 0.000
La1 La 0.750 0.750 0.750

---

# Y2SbW (GGA-PBE, relaxed)
# Symmetry: I-4m2
# Uncorrected formation energy (meV/atom): 125.5
data_Y2SbW
_chemical_formula_sum 'Y2 Sb1 W1'
_space_group_name_H-M_alt 'P 1'
_space_group_IT_number 1
_space_group_name_Hall 'P 1'
_cell_length_a 5.801
_cell_length_b 5.801
_cell_length_c 5.801
_cell_angle_alpha 135.35
_cell_angle_beta 135.35
_cell_angle_gamma 64.98
loop_
_atom_site_label
_atom_site_type_symbol
_atom_site_fract_x
_atom_site_fract_y
_atom_site_fract_z
Y1 Y 0.250 0.750 0.500
Y2 Y 0.000 0.000 0.000
Sb1 Sb 0.500 0.500 0.000
W1 W 0.750 0.250 0.500

---

# Pr6NdYTh2 (GGA-PBE, relaxed)
# DFT formation energy (meV/atom): 152
# Symmetry: C2/c
data_Pr6NdYTh2
_chemical_formula_sum 'Pr12 Nd2 Y2 Th4'
_space_group_name_H-M_alt 'P 1'
_space_group_IT_number 1
_space_group_name_Hall 'P 1'
_cell_length_a 10.564
_cell_length_b 8.840
_cell_length_c 8.840
_cell_angle_alpha 118.11
_cell_angle_beta 97.03
_cell_angle_gamma 97.03
loop_
_atom_site_label
_atom_site_type_symbol
_atom_site_fract_x
_atom_site_fract_y
_atom_site_fract_z
Pr1 Pr 0.383 0.510 0.310
Pr2 Pr 0.671 0.016 0.568
Pr3 Pr 0.952 0.893 0.260
Pr4 Pr 0.452 0.260 0.893
Pr5 Pr 0.883 0.310 0.510
Pr6 Pr 0.117 0.690 0.490
Pr7 Pr 0.171 0.568 0.016
Pr8 Pr 0.829 0.432 0.984
Pr9 Pr 0.048 0.107 0.740
Pr10 Pr 0.548 0.740 0.107
Pr11 Pr 0.329 0.984 0.432
Pr12 Pr 0.617 0.490 0.690
Th1 Th 0.957 0.735 0.818
Th2 Th 0.457 0.818 0.735
Th3 Th 0.543 0.182 0.265
Th4 Th 0.043 0.265 0.182
Y1 Y 0.250 0.403 0.597
Y2 Y 0.750 0.597 0.403
Nd1 Nd 0.250 0.990 0.010
Nd2 Nd 0.750 0.010 0.990

---

# AlTlInTe3 (GGA-PBE, relaxed)
# Symmetry: P2_1/m
# Uncorrected formation energy (meV/atom): -310.8
data_AlTlInTe3
_chemical_formula_sum 'Al2 Tl2 In2 Te6'
_space_group_name_H-M_alt 'P 1'
_space_group_IT_number 1
_space_group_name_Hall 'P 1'
_cell_length_a 4.338
_cell_length_b 9.507
_cell_length_c 10.532
_cell_angle_alpha 104.30
_cell_angle_beta 90.00
_cell_angle_gamma 90.00
loop_
_atom_site_label
_atom_site_type_symbol
_atom_site_fract_x
_atom_site_fract_y
_atom_site_fract_z
Te1 Te 0.250 0.532 0.815
Te2 Te 0.750 0.196 0.528
Te3 Te 0.750 0.907 0.131
Te4 Te 0.250 0.804 0.472
Te5 Te 0.750 0.468 0.185
Te6 Te 0.250 0.093 0.869
In1 In 0.250 0.658 0.104
In2 In 0.750 0.342 0.896
Al1 Al 0.750 0.920 0.379
Al2 Al 0.250 0.080 0.621
Tl1 Tl 0.750 0.788 0.785
Tl2 Tl 0.250 0.212 0.215

---

# ScCr2Fe (GGA-PBE, relaxed)
# DFT formation energy (meV/atom): 153
# Symmetry: P4mm
# Energy relative to the lowest polymorph listed for this composition (meV per atom): 0
data_ScCr2Fe
_chemical_formula_sum 'Sc1 Cr2 Fe1'
_space_group_name_H-M_alt 'P 1'
_space_group_IT_number 1
_space_group_name_Hall 'P 1'
_cell_length_a 2.953
_cell_length_b 2.953
_cell_length_c 6.269
_cell_angle_alpha 90.00
_cell_angle_beta 90.00
_cell_angle_gamma 90.00
loop_
_atom_site_label
_atom_site_type_symbol
_atom_site_fract_x
_atom_site_fract_y
_atom_site_fract_z
Sc1 Sc 0.500 0.500 0.747
Cr1 Cr 0.000 0.000 0.042
Cr2 Cr 0.500 0.500 0.246
Fe1 Fe 0.000 0.000 0.465

---

Number 1: raw total energy -4.66 eV per atom. Number 2: raw total energy -6.63 eV per atom. Number 3: raw total energy -7.38 eV per atom. Number 4: raw total energy -5.32 eV per atom. Number 5: raw total energy -3.36 eV per atom. Number 6: raw total energy -8.36 eV per atom.